Material: Hf2Ta4Zn3N3
Method: DFT, PBE-GGA
State: relaxed

## Properties
As for the total magnetic moment: 0.00 μB/cell. The total energy is -8.7171 eV per atom.

abc: 9.3485 5.4202 13.9660
angles: 90.00 102.80 90.00
With the nearest neighbours (Å) after each atom.
Space group C2/c (No. 15)
Asymmetric unit:
1 Hf 0.0459 0.0818 0.3926 (multiplicity 8)  3 N 2.25-2.34
2 Ta 0.1102 0.4160 0.5825 (multiplicity 8)  3 N 2.12-2.21
3 Ta 0.2230 0.4172 0.9173 (multiplicity 8)  3 N 2.12-2.20
4 Zn 0.0000 0.4810 0.7500 (multiplicity 4)  4 Zn 2.75-2.77, 4 Ta 2.78-2.79, 2 Hf 3.06
5 Zn 0.2200 0.1378 0.7502 (multiplicity 8)  4 Zn 2.75-2.77, 4 Ta 2.78-2.79, 2 Hf 3.06-3.07
6 N 0.0782 0.2337 0.0000 (multiplicity 8)  4 Ta 2.12-2.21, 2 Hf 2.25
7 N 0.2500 0.2500 0.5000 (multiplicity 4)  4 Ta 2.12-2.13, 2 Hf 2.34

Material: AlZn2Fe
Method: DFT, PBE-GGA
State: relaxed

## Properties
As for the total magnetic moment: 5.85 μB/cell. The total energy is -3.5987 eV per atom.

abc: 5.9280 5.9280 5.9280
angles: 90.00 90.00 90.00
With the nearest neighbours (Å) after each atom.
Space group F-43m (No. 216)
Asymmetric unit:
1 Al 0.0000 0.0000 0.0000 (multiplicity 4)  4 Fe 2.57, 4 Zn 2.57
2 Zn 0.0000 0.0000 0.5000 (multiplicity 4)  4 Fe 2.57, 4 Zn 2.57
3 Zn 0.2500 0.2500 0.7500 (multiplicity 4)  4 Al 2.57, 4 Zn 2.57
4 Fe 0.2500 0.2500 0.2500 (multiplicity 4)  4 Al 2.57, 4 Zn 2.57